A relaxed structure of LiTaMo2F. Source: the Alexandria database, functional PBE with a Hubbard U.

abc: 4.8309 4.8309 3.2540
angles: 90.00 90.00 90.00
With the nearest neighbours (Å) after each atom.
Element x y z (fractional)
Li1 0.0000 0.0000 0.0000  2 F 1.63
Ta1 0.5000 0.5000 0.5000  8 Mo 2.91, 2 Ta 3.25
Mo1 0.0000 0.5000 0.0000  2 Li 2.42
Mo2 0.5000 0.0000 0.0000  2 Li 2.42
F1 0.0000 0.0000 0.5000  2 Li 1.63

For the total energy, the calculation gives -5.1480 eV per atom. As for the space group: P4/mmm, No. 123.